Record 1
Computed, not measured: a geometry-optimized TmBiTe3 structure at the GGA-PBE level of DFT.

The calculation puts the offset from the most stable computed form at 5 meV per atom. The total magnetization is 0.0 μB per formula unit. The calculation puts the raw formation energy at -377 kJ/mol of formula units.

abc: 10.952 10.952 10.952
angles: 23.06 23.06 23.06
Positions (direct):
Tm 0.000 0.000 0.000
Bi 0.205 0.205 0.205
Te 0.383 0.383 0.383
Te 0.607 0.607 0.607
Te 0.818 0.818 0.818


Record 2
Computed, not measured: a geometry-optimized CrTcW structure at the GGA-PBE level of DFT.

The calculation puts the offset from the most stable computed form at 237 meV per atom. The total magnetization is 0.0 μB per formula unit. The calculation puts the energy relative to the elements at 0.297 eV per atom.

abc: 8.839 2.915 6.876
angles: 90.00 90.00 90.00
Positions (direct):
Cr 0.098 0.250 0.010
Cr 0.402 0.750 0.510
Cr 0.598 0.250 0.490
Cr 0.902 0.750 0.990
Tc 0.158 0.750 0.721
Tc 0.342 0.250 0.221
Tc 0.658 0.750 0.779
Tc 0.842 0.250 0.279
W 0.099 0.750 0.352
W 0.401 0.250 0.852
W 0.599 0.750 0.148
W 0.901 0.250 0.648


Record 3
Computed, not measured: a geometry-optimized LiThSeO5 structure at the GGA-PBE level of DFT.

The total magnetization is 1.0 μB per formula unit. The calculation puts the raw formation energy at -1508 kJ/mol of formula units.

abc: 6.043 6.043 8.486
angles: 110.79 110.79 89.63
Positions (direct):
Li 0.188 0.812 0.750
Li 0.812 0.188 0.250
Th 0.500 0.500 0.000
Th 0.500 0.500 0.500
Se 0.138 0.862 0.250
Se 0.862 0.138 0.750
O 0.173 0.175 0.838
O 0.175 0.173 0.338
O 0.228 0.771 0.050
O 0.229 0.772 0.450
O 0.419 0.581 0.750
O 0.581 0.419 0.250
O 0.771 0.228 0.550
O 0.772 0.229 0.950
O 0.825 0.827 0.662
O 0.827 0.825 0.162


The calculation returns the following theoretical density values, one per record and in order: 7.1 12.5 4.9 Mg/m³.